## HgGeTeO (PBE-GGA)

Data for crystalline HgGeTeO at its relaxed geometry.

Output
* space group: P2_12_12_1, No. 19
* energy above the lowest structure with this stoichiometry: 0.58 eV per formula unit

Cell: 6.629 8.137 8.078 Å, 90.00 90.00 90.00°
Positions (direct):
O 0.541 0.208 0.140
O 0.041 0.292 0.860
O 0.459 0.708 0.360
O 0.959 0.792 0.640
Hg 0.218 0.934 0.493
Hg 0.282 0.066 0.993
Hg 0.718 0.566 0.507
Hg 0.782 0.434 0.007
Te 0.519 0.601 0.809
Te 0.981 0.399 0.309
Te 0.019 0.899 0.191
Te 0.481 0.101 0.691
Ge 0.326 0.628 0.192
Ge 0.674 0.128 0.308
Ge 0.174 0.372 0.692
Ge 0.826 0.872 0.808

## HgGeTeO (PBE-GGA)

Data for crystalline HgGeTeO at its relaxed geometry.

Output
* space group: Pbcm, No. 57
* energy above the lowest structure with this stoichiometry: 0.00 eV per formula unit

Cell: 8.203 7.860 5.910 Å, 90.00 89.99 90.00°
Positions (direct):
O 0.250 0.073 0.250
O 0.250 0.072 0.750
O 0.750 0.927 0.250
O 0.750 0.928 0.750
Hg 0.576 0.318 0.500
Hg 0.424 0.682 0.000
Hg 0.076 0.682 0.500
Hg 0.924 0.318 0.000
Ge 0.631 0.979 0.500
Ge 0.869 0.979 0.000
Ge 0.131 0.021 0.500
Ge 0.369 0.021 0.000
Te 0.961 0.331 0.500
Te 0.539 0.331 0.000
Te 0.461 0.669 0.500
Te 0.039 0.669 0.000

## HgGeTeO (PBE-GGA)

Data for crystalline HgGeTeO at its relaxed geometry.

Output
* space group: P4/nmm, No. 129
* energy above the lowest structure with this stoichiometry: 0.94 eV per formula unit

Cell: 4.374 4.374 9.473 Å, 90.00 90.00 90.00°
Positions (direct):
Hg 0.250 0.750 0.000
Hg 0.750 0.250 0.000
Ge 0.250 0.250 0.690
Ge 0.750 0.750 0.310
Te 0.250 0.250 0.292
Te 0.750 0.750 0.708
O 0.250 0.250 0.502
O 0.750 0.750 0.498